1.
# Tb4CoIr (PBE-GGA, relaxed)
# DOS at the Fermi energy: 3.7 states/eV/f.u.
# M_tot: 0.000 μB per formula unit
# DFT formation energy: -341 meV/atom
# crystal system: tetragonal
data_Tb4CoIr
_chemical_formula_sum 'Tb16 Co4 Ir4'
_symmetry_space_group_name_H-M 'I 41 m d'
_symmetry_Int_Tables_number 109
_symmetry_space_group_name_Hall 'I 4bw -2'
_cell_length_a 9.0983
_cell_length_b 9.0983
_cell_length_c 8.1921
_cell_angle_alpha 90.00
_cell_angle_beta 90.00
_cell_angle_gamma 90.00
loop_
_atom_site_label
_atom_site_type_symbol
_atom_site_fract_x
_atom_site_fract_y
_atom_site_fract_z
Tb1 Tb 0.0000 0.1965 0.0000
Tb2 Tb 0.0000 0.2023 0.4862
Co1 Co 0.0000 0.0000 0.2452
Ir1 Ir 0.0000 0.0000 0.7408

---

2.
# Tb4CoIr (PBE-GGA, relaxed)
# DOS at the Fermi energy: 6.3 states/eV/f.u.
# M_tot: 0.000 μB per formula unit
# DFT formation energy: -410 meV/atom
# crystal system: monoclinic
data_Tb4CoIr
_chemical_formula_sum 'Tb16 Co4 Ir4'
_symmetry_space_group_name_H-M 'C 1 2/c 1'
_symmetry_Int_Tables_number 15
_cell_length_a 8.8126
_cell_length_b 13.1381
_cell_length_c 6.2306
_cell_angle_alpha 90.00
_cell_angle_beta 124.85
_cell_angle_gamma 90.00
loop_
_symmetry_equiv_pos_as_xyz
'x,y,z'
'-x,-y,-z'
'-x,y,-z+1/2'
'x,-y,z+1/2'
'x+1/2,y+1/2,z'
'-x+1/2,-y+1/2,-z'
'-x+1/2,y+1/2,-z+1/2'
'x+1/2,-y+1/2,z+1/2'
loop_
_atom_site_label
_atom_site_type_symbol
_atom_site_fract_x
_atom_site_fract_y
_atom_site_fract_z
Tb1 Tb 0.1309 0.1804 0.1013
Tb2 Tb 0.2039 0.4398 0.2746
Co1 Co 0.0000 0.0029 0.7500
Ir1 Ir 0.0000 0.3634 0.7500

---

3.
# Tb2CoIr (PBE-GGA, relaxed)
# DOS at the Fermi energy: 3.1 states/eV/f.u.
# M_tot: 0.000 μB per formula unit
# DFT formation energy: -503 meV/atom
# crystal system: monoclinic
data_Tb2CoIr
_chemical_formula_sum 'Tb4 Co2 Ir2'
_symmetry_space_group_name_H-M 'P 1 21/m 1'
_symmetry_Int_Tables_number 11
_cell_length_a 5.5760
_cell_length_b 4.0420
_cell_length_c 7.9794
_cell_angle_alpha 90.00
_cell_angle_beta 109.39
_cell_angle_gamma 90.00
loop_
_symmetry_equiv_pos_as_xyz
'x,y,z'
'-x,-y,-z'
'-x,y+1/2,-z'
'x,-y+1/2,z'
loop_
_atom_site_label
_atom_site_type_symbol
_atom_site_fract_x
_atom_site_fract_y
_atom_site_fract_z
Tb1 Tb 0.2184 0.2500 0.4252
Tb2 Tb 0.2804 0.7500 0.0711
Co1 Co 0.3497 0.7500 0.7155
Ir1 Ir 0.1522 0.2500 0.7812

---

4.
# TbCo4Ir (PBE-GGA, relaxed)
# DOS at the Fermi energy: 7.3 states/eV/f.u.
# M_tot: 6.926 μB per formula unit
# DFT formation energy: -100 meV/atom
# crystal system: cubic
data_TbCo4Ir
_chemical_formula_sum 'Tb4 Co16 Ir4'
_symmetry_space_group_name_H-M 'F -4 3 m'
_symmetry_Int_Tables_number 216
_symmetry_space_group_name_Hall 'F -4 2 3'
_cell_length_a 6.9340
_cell_length_b 6.9340
_cell_length_c 6.9340
_cell_angle_alpha 90.00
_cell_angle_beta 90.00
_cell_angle_gamma 90.00
loop_
_atom_site_label
_atom_site_type_symbol
_atom_site_fract_x
_atom_site_fract_y
_atom_site_fract_z
Tb1 Tb 0.0000 0.0000 0.0000
Co1 Co 0.1247 0.1247 0.6247
Ir1 Ir 0.2500 0.2500 0.2500

---

5.
# Tb12Co6Ir (PBE-GGA, relaxed)
# DOS at the Fermi energy: 13.9 states/eV/f.u.
# M_tot: 0.000 μB per formula unit
# DFT formation energy: -212 meV/atom
# crystal system: cubic
data_Tb12Co6Ir
_chemical_formula_sum 'Tb24 Co12 Ir2'
_symmetry_space_group_name_H-M 'I m -3'
_symmetry_Int_Tables_number 204
_symmetry_space_group_name_Hall '-I 2 2 3'
_cell_length_a 9.5367
_cell_length_b 9.5367
_cell_length_c 9.5367
_cell_angle_alpha 90.00
_cell_angle_beta 90.00
_cell_angle_gamma 90.00
loop_
_atom_site_label
_atom_site_type_symbol
_atom_site_fract_x
_atom_site_fract_y
_atom_site_fract_z
Tb1 Tb 0.0000 0.2964 0.1911
Co1 Co 0.0000 0.1153 0.5000
Ir1 Ir 0.0000 0.0000 0.0000

---

6.
# Tb3Co3Ir (PBE-GGA, relaxed)
# DOS at the Fermi energy: 7.1 states/eV/f.u.
# M_tot: 2.195 μB per formula unit
# DFT formation energy: -342 meV/atom
# crystal system: orthorhombic
data_Tb3Co3Ir
_chemical_formula_sum 'Tb12 Co12 Ir4'
_symmetry_space_group_name_H-M 'C m c m'
_symmetry_Int_Tables_number 63
_symmetry_space_group_name_Hall '-C 2c 2'
_cell_length_a 4.2563
_cell_length_b 9.9744
_cell_length_c 12.4381
_cell_angle_alpha 90.00
_cell_angle_beta 90.00
_cell_angle_gamma 90.00
loop_
_atom_site_label
_atom_site_type_symbol
_atom_site_fract_x
_atom_site_fract_y
_atom_site_fract_z
Tb1 Tb 0.0000 0.0172 0.2500
Tb2 Tb 0.0000 0.2752 0.6033
Co1 Co 0.0000 0.3183 0.2500
Co2 Co 0.0000 0.4333 0.0896
Ir1 Ir 0.0000 0.0000 0.0000

---

7.
# Tb5Co2Ir (PBE-GGA, relaxed)
# DOS at the Fermi energy: 6.6 states/eV/f.u.
# M_tot: 0.000 μB per formula unit
# DFT formation energy: -385 meV/atom
# crystal system: tetragonal
data_Tb5Co2Ir
_chemical_formula_sum 'Tb20 Co8 Ir4'
_symmetry_space_group_name_H-M 'I 4/m c m'
_symmetry_Int_Tables_number 140
_symmetry_space_group_name_Hall '-I 4 2c'
_cell_length_a 7.1295
_cell_length_b 7.1295
_cell_length_c 14.2970
_cell_angle_alpha 90.00
_cell_angle_beta 90.00
_cell_angle_gamma 90.00
loop_
_atom_site_label
_atom_site_type_symbol
_atom_site_fract_x
_atom_site_fract_y
_atom_site_fract_z
Tb1 Tb 0.0000 0.0000 0.0000
Tb2 Tb 0.1782 0.3218 0.1422
Co1 Co 0.1119 0.3881 0.5000
Ir1 Ir 0.0000 0.0000 0.2500

---

8.
# Tb2CoIr (PBE-GGA, relaxed)
# DOS at the Fermi energy: 2.0 states/eV/f.u.
# M_tot: 0.642 μB per formula unit
# DFT formation energy: -462 meV/atom
# crystal system: tetragonal
data_Tb2CoIr
_chemical_formula_sum 'Tb2 Co1 Ir1'
_symmetry_space_group_name_H-M 'P 4/m m m'
_symmetry_Int_Tables_number 123
_symmetry_space_group_name_Hall '-P 4 2'
_cell_length_a 4.8179
_cell_length_b 4.8179
_cell_length_c 3.4240
_cell_angle_alpha 90.00
_cell_angle_beta 90.00
_cell_angle_gamma 90.00
loop_
_atom_site_label
_atom_site_type_symbol
_atom_site_fract_x
_atom_site_fract_y
_atom_site_fract_z
Tb1 Tb 0.0000 0.5000 0.0000
Co1 Co 0.0000 0.0000 0.5000
Ir1 Ir 0.5000 0.5000 0.5000

---

Looking at volume for the records above, in order, we have 28.256 24.666 21.205 13.891 22.825 18.859 22.710 19.870 A^3/atom.